Entry one
An optimized crystal structure of RuSCl2, computed with GGA-PBE.

Lattice parameters (Å, degrees): 3.647 3.647 21.175 90.00 90.00 120.00
Sites, in units of the cell vectors:
Ru1 0.000 0.000 0.000
Ru2 0.333 0.667 0.667
Ru3 0.667 0.333 0.333
S1 0.000 0.000 0.500
S2 0.333 0.667 0.167
S3 0.667 0.333 0.833
Cl1 0.000 0.000 0.391
Cl2 0.000 0.000 0.609
Cl3 0.333 0.667 0.058
Cl4 0.333 0.667 0.275
Cl5 0.667 0.333 0.725
Cl6 0.667 0.333 0.942

Results
Its symmetry is R-3m.



Entry two
An optimized crystal structure of RuSCl2, computed with GGA-PBE.

Lattice parameters (Å, degrees): 6.554 6.554 6.554 90.00 90.00 90.00
Sites, in units of the cell vectors:
Ru1 0.000 0.000 0.000
Ru2 0.000 0.500 0.500
Ru3 0.500 0.000 0.500
Ru4 0.500 0.500 0.000
S1 0.000 0.000 0.500
S2 0.000 0.500 0.000
S3 0.500 0.000 0.000
S4 0.500 0.500 0.500
Cl1 0.250 0.250 0.250
Cl2 0.250 0.250 0.750
Cl3 0.250 0.750 0.250
Cl4 0.250 0.750 0.750
Cl5 0.750 0.250 0.250
Cl6 0.750 0.250 0.750
Cl7 0.750 0.750 0.250
Cl8 0.750 0.750 0.750

Results
Its symmetry is Fm-3m.



Question: which arrangement is favored energetically? Ranking from most to least stable: entry one, entry two.



Entry one
An optimized crystal structure of SbRuS2Cl, computed with GGA-PBE.

Lattice parameters (Å, degrees): 4.654 4.654 4.723 90.00 90.00 90.00
Sites, in units of the cell vectors:
Sb1 0.000 0.000 0.000
Ru1 0.500 0.500 0.500
S1 0.000 0.500 0.500
S2 0.500 0.000 0.500
Cl1 0.500 0.500 0.000

Results
Its symmetry is P4/mmm.



Entry two
An optimized crystal structure of SbRuS2Cl, computed with GGA-PBE.

Lattice parameters (Å, degrees): 5.081 5.081 5.071 90.00 90.00 90.00
Sites, in units of the cell vectors:
Sb1 0.000 0.000 0.000
Ru1 0.500 0.500 0.500
S1 0.000 0.500 0.000
S2 0.500 0.000 0.000
Cl1 0.000 0.000 0.500

Results
Its symmetry is P4/mmm.



Question: which arrangement is favored energetically? Ranking from most to least stable: entry one, entry two.



Entry one
An optimized crystal structure of SiRuSCl2, computed with GGA-PBE.

Lattice parameters (Å, degrees): 4.681 4.681 4.715 90.00 90.00 90.00
Sites, in units of the cell vectors:
Si1 0.000 0.000 0.000
Ru1 0.500 0.500 0.500
S1 0.000 0.000 0.500
Cl1 0.000 0.500 0.000
Cl2 0.500 0.000 0.000

Results
Its symmetry is P4/mmm.



Entry two
An optimized crystal structure of SiRuSCl2, computed with GGA-PBE.

Lattice parameters (Å, degrees): 4.817 4.817 4.526 90.00 90.00 90.00
Sites, in units of the cell vectors:
Si1 0.000 0.000 0.000
Ru1 0.500 0.500 0.500
S1 0.500 0.500 0.000
Cl1 0.000 0.500 0.500
Cl2 0.500 0.000 0.500

Results
Its symmetry is P4/mmm.



Question: which arrangement is favored energetically? Ranking from most to least stable: entry two, entry one.



Entry one
An optimized crystal structure of SrRuS2Cl, computed with GGA-PBE.

Lattice parameters (Å, degrees): 4.720 4.720 4.957 90.00 90.00 90.00
Sites, in units of the cell vectors:
Sr1 0.000 0.000 0.000
Ru1 0.500 0.500 0.500
S1 0.000 0.500 0.500
S2 0.500 0.000 0.500
Cl1 0.500 0.500 0.000

Results
Its symmetry is P4/mmm.



Entry two
An optimized crystal structure of SrRuS2Cl, computed with GGA-PBE.

Lattice parameters (Å, degrees): 5.580 5.580 5.374 90.00 90.00 90.00
Sites, in units of the cell vectors:
Sr1 0.000 0.000 0.000
Ru1 0.500 0.500 0.500
S1 0.000 0.500 0.000
S2 0.500 0.000 0.000
Cl1 0.000 0.000 0.500

Results
Its symmetry is P4/mmm.



Question: which arrangement is favored energetically? Ranking from most to least stable: entry one, entry two.



Entry one
An optimized crystal structure of TeRuSCl2, computed with GGA-PBE.

Lattice parameters (Å, degrees): 4.493 4.493 6.020 90.00 90.00 90.00
Sites, in units of the cell vectors:
Te1 0.000 0.000 0.000
Ru1 0.500 0.500 0.000
S1 0.000 0.000 0.500
Cl1 0.000 0.500 0.500
Cl2 0.500 0.000 0.500

Results
Its symmetry is P4/mmm.



Entry two
An optimized crystal structure of TeRuSCl2, computed with GGA-PBE.

Lattice parameters (Å, degrees): 5.204 5.204 5.308 90.00 90.00 90.00
Sites, in units of the cell vectors:
Te1 0.000 0.000 0.000
Ru1 0.500 0.500 0.500
S1 0.000 0.000 0.500
Cl1 0.000 0.500 0.000
Cl2 0.500 0.000 0.000

Results
Its symmetry is P4/mmm.



Question: which arrangement is favored energetically? Ranking from most to least stable: entry one, entry two.



Entry one
An optimized crystal structure of TiRuSCl2, computed with GGA-PBE.

Lattice parameters (Å, degrees): 4.744 4.744 4.786 90.00 90.00 90.00
Sites, in units of the cell vectors:
Ti1 0.000 0.000 0.000
Ru1 0.500 0.500 0.500
S1 0.000 0.000 0.500
Cl1 0.000 0.500 0.000
Cl2 0.500 0.000 0.000

Results
Its symmetry is P4/mmm.



Entry two
An optimized crystal structure of TiRuSCl2, computed with GGA-PBE.

Lattice parameters (Å, degrees): 4.728 4.728 4.601 90.00 90.00 90.00
Sites, in units of the cell vectors:
Ti1 0.000 0.000 0.000
Ru1 0.500 0.500 0.500
S1 0.500 0.500 0.000
Cl1 0.000 0.500 0.500
Cl2 0.500 0.000 0.500

Results
Its symmetry is P4/mmm.



Question: which arrangement is favored energetically? Ranking from most to least stable: entry one, entry two.